Entry 1:
A plane-wave DFT calculation with PBE was carried out for a relaxed TeP2Ir crystal.

The structure in POSCAR format:
```
TeP2Ir
1.0
2.927 0.000 0.000
0.000 2.927 0.000
0.000 0.000 10.449
Ir P Te
1 2 1
direct
0.500 0.500 0.750
0.000 0.000 0.895
0.000 0.000 0.605
0.500 0.500 0.250
```

Calculated values
Formation energy without anion corrections ... 213 meV per atom



Entry 2:
A plane-wave DFT calculation with PBE was carried out for a relaxed TaBeTeH2 crystal.

The structure in POSCAR format:
```
TaBeTeH2
1.0
3.790 0.000 0.000
0.000 5.273 0.000
0.000 0.000 3.790
Be Te H Ta
1 1 2 1
direct
0.000 0.000 0.000
0.500 0.500 0.500
0.000 0.000 0.500
0.500 0.000 0.000
0.000 0.500 0.000
```



Entry 3:
A plane-wave DFT calculation with PBE was carried out for a relaxed CaInBr2 crystal.

The structure in POSCAR format:
```
CaInBr2
1.0
2.344 0.000 10.610
-1.172 2.030 10.610
-1.172 -2.030 10.610
Ca Br In
1 2 1
direct
0.500 0.500 0.500
0.886 0.886 0.886
0.114 0.114 0.114
0.000 0.000 0.000
```

Calculated values
Formation energy without anion corrections ... -1266 meV per atom



Entry 4:
A plane-wave DFT calculation with PBE was carried out for a relaxed Y2TmBi crystal.

The structure in POSCAR format:
```
Y2TmBi
1.0
-0.769 1.593 3.794
-3.809 -1.736 -0.044
2.536 -5.637 2.880
Y Tm Bi
2 1 1
direct
0.000 0.000 0.742
0.000 0.000 0.258
0.500 0.500 0.000
0.500 0.500 0.500
```

Calculated values
Formation energy ... -369 meV/atom



Entry 5:
A plane-wave DFT calculation with PBE was carried out for a relaxed K6CeI12 crystal.

The structure in POSCAR format:
```
K6CeI12
1.0
-6.856 -7.256 -0.040
2.238 -0.288 -9.725
7.674 -5.495 3.252
K Ce I
6 1 12
direct
0.153 0.286 0.632
0.714 0.368 0.847
0.368 0.847 0.714
0.847 0.714 0.368
0.286 0.632 0.153
0.632 0.153 0.286
0.000 0.000 0.000
0.466 0.162 0.579
0.162 0.579 0.466
0.579 0.466 0.162
0.534 0.838 0.421
0.838 0.421 0.534
0.421 0.534 0.838
0.016 0.940 0.696
0.304 0.984 0.060
0.060 0.304 0.984
0.984 0.060 0.304
0.696 0.016 0.940
0.940 0.696 0.016
```

Calculated values
Formation energy without anion corrections ... -1160 meV per atom



Entry 6:
A plane-wave DFT calculation with PBE was carried out for a relaxed Ca2Pb2Au crystal.

The structure in POSCAR format:
```
Ca2Pb2Au
1.0
4.721 0.000 0.000
2.360 5.744 -0.030
2.360 0.808 10.572
Ca Pb Au
4 4 2
direct
0.320 0.243 0.116
0.505 0.316 0.674
0.680 0.757 0.884
0.495 0.684 0.326
0.961 0.189 0.890
0.151 0.249 0.449
0.039 0.811 0.110
0.849 0.751 0.551
0.785 0.114 0.316
0.215 0.886 0.684
```

Calculated values
Formation energy ... -544 meV/atom



Entry 7:
A plane-wave DFT calculation with PBE was carried out for a relaxed HgOs2Pb crystal.

The structure in POSCAR format:
```
HgOs2Pb
1.0
-3.727 -1.908 0.392
-2.563 -1.407 3.022
-4.283 6.434 0.670
Hg Os Pb
1 2 1
direct
0.726 0.726 0.793
0.004 0.004 0.061
0.257 0.257 0.192
0.513 0.513 0.455
```

Calculated values
Formation energy ... 716 meV/atom



Entry 8:
A plane-wave DFT calculation with PBE was carried out for a relaxed Zn4CuNi2Ge crystal.

The structure in POSCAR format:
```
Zn4CuNi2Ge
1.0
-1.512 -3.061 0.914
-0.697 -0.670 -3.400
8.463 -4.438 -0.860
Zn Cu Ni Ge
4 1 2 1
direct
0.000 0.500 0.193
0.500 0.000 0.807
0.500 0.000 0.193
0.000 0.500 0.807
0.000 0.000 0.000
0.500 0.500 0.378
0.500 0.500 0.622
0.000 0.000 0.500
```

Calculated values
Formation energy ... 101 meV/atom



Entry 9:
A plane-wave DFT calculation with PBE was carried out for a relaxed LiNiP2 crystal.

The structure in POSCAR format:
```
LiNiP2
1.0
-2.518 0.127 1.031
0.905 -1.056 2.342
1.427 7.029 2.616
Li Ni P
1 1 2
direct
0.000 0.000 0.517
0.500 0.500 0.770
0.000 0.000 0.922
0.500 0.500 0.291
```

Calculated values
Formation energy ... -54 meV/atom



Entry 10:
A plane-wave DFT calculation with PBE was carried out for a relaxed Tm2BePd crystal.

The structure in POSCAR format:
```
Tm2BePd
1.0
3.428 0.000 0.000
0.000 3.428 0.000
0.000 0.000 6.749
Be Tm Pd
1 2 1
direct
0.500 0.500 0.000
0.000 0.000 0.757
0.000 0.000 0.243
0.500 0.500 0.500
```

Calculated values
Formation energy ... -451 meV/atom



Entry 11:
A plane-wave DFT calculation with PBE was carried out for a relaxed RbCdInHg2 crystal.

The structure in POSCAR format:
```
RbCdInHg2
1.0
-4.632 0.725 -3.338
-1.910 -5.212 1.518
-2.815 2.315 4.409
Cd Hg Rb In
1 2 1 1
direct
0.000 0.000 0.500
0.000 0.500 0.000
0.500 0.000 0.000
0.500 0.500 0.500
0.000 0.000 0.000
```

Calculated values
Formation energy ... -36 meV/atom



Entry 12:
A plane-wave DFT calculation with PBE was carried out for a relaxed TaMnSi2 crystal.

The structure in POSCAR format:
```
TaMnSi2
1.0
2.695 0.000 0.000
0.000 2.695 0.000
0.000 0.000 8.030
Mn Si Ta
1 2 1
direct
0.500 0.500 0.769
0.000 0.000 0.972
0.500 0.500 0.253
0.000 0.000 0.506
```

Calculated values
Formation energy without anion corrections ... 108 meV per atom



Entry 13:
A plane-wave DFT calculation with PBE was carried out for a relaxed B3PdN crystal.

The structure in POSCAR format:
```
B3PdN
1.0
3.479 0.000 0.000
0.000 3.479 0.000
0.000 0.000 3.479
B Pd N
3 1 1
direct
0.000 0.500 0.000
0.000 0.000 0.500
0.500 0.000 0.000
0.500 0.500 0.500
0.000 0.000 0.000
```

Calculated values
Formation energy without anion corrections ... 1521 meV per atom



Entry 14:
A plane-wave DFT calculation with PBE was carried out for a relaxed MnSbP2 crystal.

The structure in POSCAR format:
```
MnSbP2
1.0
-2.649 0.163 -3.736
3.452 -2.684 -1.369
-1.733 -2.793 1.106
Mn P Sb
1 2 1
direct
0.000 0.500 0.500
0.000 0.000 0.000
0.500 0.500 0.000
0.500 0.000 0.500
```

Calculated values
Formation energy without anion corrections ... 451 meV per atom



Entry 15:
A plane-wave DFT calculation with PBE was carried out for a relaxed PmThFeNi crystal.

The structure in POSCAR format:
```
PmThFeNi
1.0
-3.806 -0.088 -3.082
-2.640 -4.094 -0.516
-4.569 -0.205 1.755
Ni Fe Th Pm
1 1 1 1
direct
0.750 0.750 0.750
0.250 0.250 0.250
0.000 0.000 0.000
0.500 0.500 0.500
```

Calculated values
Formation energy ... -20 meV/atom



Result set for total DFT energy (no corrections): -5.493, -4.207, -3.288, -5.690, -2.798, -3.483, -5.901, -3.071, -4.682, -4.916, -1.081, -7.859, -5.189, -5.577, -6.624 eV per atom, one per record in the order listed.
Result set for volume: 89.5, 75.7, 151.5, 119.5, 967.5, 286.8, 88.6, 119.9, 56.7, 79.3, 189.5, 58.3, 42.1, 71.1, 83.1 Å³/cell, one per record in the order listed.